First-principles (GGA-PBE) data for crystalline KZn2Hg at its relaxed geometry, as listed in Alexandria.

Geometry as POSCAR:
```
KZn2Hg
1.0
4.580 0.002 0.012
2.292 3.965 0.012
2.274 1.313 6.178
Zn Hg K
2 1 1
direct
0.062 0.062 0.815 Zn
0.734 0.734 0.797 Zn
0.451 0.451 0.648 Hg
0.253 0.253 0.239 K
```

Computed properties:
Its theoretical density is 5.492 g cm⁻³. Its formation energy is -0.05 eV per atom. The space-group type is R3m. The density of states at the Fermi level is 0.23 states/eV per atom. As for the total DFT energy (no corrections): -1.03 eV per atom.